Below is crystalline Li2ScAu2 at its relaxed geometry, with properties calculated at the GGA-PBEsol level.

## Properties
- Energy relative to the elements: -248 kJ/mol of formula units
- Mass density: 8.790 Mg/m³
- Magnetic moment: 0.00 μB per formula unit
- Electronic total energy: -4.1909 eV per atom

a b c (Å): 3.5635 3.5635 13.4714
angles (deg): 90.00 90.00 90.00
With the nearest neighbours (Å) after each atom.
Space group I4/mmm (No. 139)
Asymmetric unit:
Li 0.0000 0.5000 0.2500 [4 per cell]  4 Li 2.52, 4 Au 2.66
Sc 0.0000 0.0000 0.0000 [2 per cell]  8 Au 2.88
Au 0.0000 0.0000 0.3967 [4 per cell]  4 Li 2.66, 1 Au 2.78, 4 Sc 2.88

Below is crystalline SrAsOs2 at its relaxed geometry, with properties calculated at the GGA-PBEsol level.

## Properties
- Energy relative to the elements: 310 kJ/mol of formula units
- Mass density: 12.818 Mg/m³
- Magnetic moment: 0.00 μB per formula unit
- Electronic total energy: -7.0414 eV per atom

a b c (Å): 4.9912 2.7286 5.5540
angles (deg): 90.00 111.57 90.00
With the nearest neighbours (Å) after each atom.
Space group P2/m (No. 10)
Asymmetric unit:
Sr 0.0000 0.0000 0.0000 [1 per cell]  2 Sr 2.73, 4 As 2.84, 2 Os 2.97
As 0.5000 0.5000 0.0000 [1 per cell]  2 As 2.73, 4 Sr 2.84, 2 Os 2.97
Os 0.0000 0.5000 0.5000 [1 per cell]  6 Os 2.73-2.84, 2 As 2.97
Os 0.5000 0.0000 0.5000 [1 per cell]  6 Os 2.73-2.84, 2 Sr 2.97

Below is crystalline TaCr3Cu2S8 at its relaxed geometry, with properties calculated at the GGA-PBEsol level.

## Properties
- Mass density: 5.132 Mg/m³
- Magnetic moment: 8.27 μB per formula unit
- Energy relative to the elements, uncorrected: -10.101 eV/f.u.
- Electronic total energy: -6.9371 eV per atom

a b c (Å): 7.0220 7.0220 16.3762
angles (deg): 90.00 90.00 120.00
With the nearest neighbours (Å) after each atom.
Space group R-3m (No. 166, hexagonal axes)
Asymmetric unit:
Ta 0.0000 0.0000 0.0000 [3 per cell]  6 S 2.44
Cr 0.0000 0.5000 0.5000 [9 per cell]  6 S 2.37
Cu 0.0000 0.0000 0.3761 [6 per cell]  4 S 2.21-2.22
S 0.0000 0.0000 0.2411 [6 per cell]  1 Cu 2.21, 3 Cr 2.37
S 0.0106 0.5053 0.7548 [18 per cell]  1 Cu 2.22, 2 Cr 2.37, 1 Ta 2.44

Below is crystalline Mo2BrO2 at its relaxed geometry, with properties calculated at the GGA-PBEsol level.

## Properties
- Mass density: 7.895 Mg/m³
- Magnetic moment: 0.60 μB per formula unit
- Energy relative to the elements, uncorrected: -3.159 eV/f.u.
- Electronic total energy: -7.8128 eV per atom

a b c (Å): 3.9090 3.9090 8.3627
angles (deg): 90.00 90.00 90.00
With the nearest neighbours (Å) after each atom.
Space group I4/mmm (No. 139)
Asymmetric unit:
Mo 0.0000 0.0000 0.1377 [4 per cell]  4 O 2.17, 1 Mo 2.30
Br 0.0000 0.0000 0.5000 [2 per cell]  8 O 2.86, 10 Mo 2.99-3.03
O 0.0000 0.5000 0.2500 [4 per cell]  4 Mo 2.17

- Which formula does entry 3 have?
  TaCr3Cu2S8

- The highest electronic total energy belongs to which entry?
  Li2ScAu2